The following is a DFT calculation (PBE) of a geometry-optimized La2GaAgTe5 structure.

Cell lengths 10.194, 10.194, 12.832 Å; angles 90.00, 90.00, 155.30 degrees
Positions (direct):
La 0.118 0.882 0.500
La 0.127 0.873 0.116
La 0.873 0.127 0.616
La 0.882 0.118 0.000
Ga 0.427 0.573 0.274
Ga 0.573 0.427 0.774
Ag 0.225 0.775 0.841
Ag 0.775 0.225 0.341
Te 0.041 0.959 0.887
Te 0.287 0.713 0.490
Te 0.313 0.687 0.170
Te 0.365 0.635 0.811
Te 0.498 0.502 0.095
Te 0.502 0.498 0.595
Te 0.635 0.365 0.311
Te 0.687 0.313 0.670
Te 0.713 0.287 0.990
Te 0.959 0.041 0.387

Values from the calculation:
As for the calculated volume: 278.6 Å³/f.u. As for the total energy: -80.28 eV per cell.